No. 1
SrGa3Rh3: optimized geometry, GGA-PBE.

DFT total energy (eV per atom): -5.030
Energy of formation (eV/atom): -0.34

extended XYZ file:
```
14
Lattice="6.7808 0.0000 0.0000 0.0000 6.7808 0.0000 0.0000 0.0000 6.7808" Properties=species:S:1:pos:R:3 pbc="T T T"
Rh 5.0856 3.3904 0.0000
Ga 0.0000 3.3904 1.6952
Rh 0.0000 5.0856 3.3904
Rh 3.3904 0.0000 5.0856
Ga 1.6952 0.0000 3.3904
Rh 3.3904 0.0000 1.6952
Ga 0.0000 3.3904 5.0856
Ga 5.0856 0.0000 3.3904
Rh 0.0000 1.6952 3.3904
Sr 3.3904 3.3904 3.3904
Ga 3.3904 1.6952 0.0000
Sr 0.0000 0.0000 0.0000
Rh 1.6952 3.3904 0.0000
Ga 3.3904 5.0856 0.0000
```

---

No. 2
Sr2Ga6Rh9: optimized geometry, GGA-PBE.

DFT total energy (eV per atom): -5.609
Energy of formation (eV/atom): -0.45

extended XYZ file:
```
17
Lattice="-5.1894 1.4363 -1.7766 0.7532 -1.9522 5.2698 1.6991 10.7763 3.7493" Properties=species:S:1:pos:R:3 pbc="T T T"
Rh 1.2262 4.4120 4.5096
Ga -3.2086 0.3068 0.5722
Ga -1.2277 -0.8227 2.9210
Rh -2.3099 2.5244 -0.2598
Sr 0.5273 3.3445 1.1636
Rh 0.6614 0.8302 3.2633
Ga -0.6610 2.7711 4.1714
Ga -0.0952 6.3598 5.4199
Ga -2.0761 7.4893 3.0712
Rh -1.9333 1.5483 2.3751
Rh -1.7451 6.1063 0.9864
Rh -1.3686 5.1302 3.6213
Rh -1.1804 9.6882 2.2326
Rh -0.8038 8.7121 4.8675
Rh 1.7909 7.9939 5.7558
Ga -2.6419 3.9007 1.8226
Sr 1.1718 7.4318 2.5857
```

---

No. 3
Sr3Ga9Rh2: optimized geometry, GGA-PBE.

DFT total energy (eV per atom): -3.861
Energy of formation (eV/atom): -0.50

extended XYZ file:
```
14
Lattice="-4.0526 -1.4053 -0.8770 -3.1226 -2.5136 7.5296 -5.1165 6.3069 2.6091" Properties=species:S:1:pos:R:3 pbc="T T T"
Ga -2.4585 -1.1004 2.1959
Ga -4.0650 3.2135 2.7069
Ga -9.2459 0.8904 8.5151
Ga -9.0971 3.0245 4.4071
Ga -3.0458 1.4976 0.7466
Sr 0.0000 0.0000 0.0000
Rh -5.6794 -0.8695 5.7820
Sr -5.3810 0.2442 2.6182
Sr -6.9107 2.1438 6.6435
Rh -6.6123 3.2575 3.4797
Ga -8.2267 -0.8256 6.5549
Ga -9.8332 3.4884 7.0658
Ga -4.1195 1.8966 5.0693
Ga -3.1946 -0.6365 4.8546
```

---

What is the energy of formation in the third record?
-0.50 eV/atom

---

Which formula does entry 3 have?
Sr3Ga9Rh2

---

Which value of DFT total energy does entry 3 give?
-3.861 eV per atom

---

Among the records above, which one has the highest DFT total energy?
Sr3Ga9Rh2